# BeVO2 PBE+U optimized geometry
# volume: 144 Å³ per cell
# N(E_F): 0.688 states/eV/f.u.
# raw total energy: -7.1516 eV/atom
data_BeVO2
_cell_length_a 3.3180
_cell_length_b 3.3180
_cell_length_c 15.1099
_cell_angle_alpha 90.00
_cell_angle_beta 90.00
_cell_angle_gamma 120.00
_symmetry_space_group_name_H-M 'R -3 m'
_symmetry_Int_Tables_number 166
_symmetry_space_group_name_Hall '-R 3 2"'
loop_
_atom_site_label
_atom_site_fract_x
_atom_site_fract_y
_atom_site_fract_z
Be1 0.0000 0.0000 0.0000
V1 0.0000 0.0000 0.5000
O1 0.0000 0.0000 0.0951